The following is a DFT calculation (PBE) of crystalline CaDyTl2 at its relaxed geometry.

The space-group type is R3m (160). The total energy is -3.076 eV per atom. Its total magnetization is 0.000 μB/atom.

a = 10.144 Å, b = 10.144 Å, c = 10.144 Å
α = 21.41°, β = 21.41°, γ = 21.41°
Atoms (fractional coordinates):
Ca (0.000, 0.000, 0.000)
Dy (0.832, 0.832, 0.832)
Tl (0.248, 0.248, 0.248)
Tl (0.417, 0.417, 0.417)